Gd2ErCo: optimized geometry, GGA-PBE.

Cell and atoms, written as CIF:
```
data_Gd2ErCo
_space_group_name_H-M_alt 'P 1'
_space_group_IT_number 1
_cell_length_a 9.5175
_cell_length_b 9.5175
_cell_length_c 9.5175
_cell_angle_alpha 22.38
_cell_angle_beta 22.38
_cell_angle_gamma 22.38
loop_
_space_group_symop_operation_xyz
'x,y,z'
loop_
_atom_site_label
_atom_site_fract_x
_atom_site_fract_y
_atom_site_fract_z
Gd1 0.2248 0.2248 0.2248
Gd2 0.7752 0.7752 0.7752
Er1 0.0000 0.0000 0.0000
Co1 0.5000 0.5000 0.5000
```

- energy relative to the lowest polymorph listed for this composition (eV/f.u.) = 0.16
- SG = No. 166
- ΔE_f (eV per atom) = 0.027
- M_tot (Bohr magnetons per cell) = 14.70